# 1
The following is a DFT calculation (PBE-GGA) of a geometry-optimized ErLu2Sc structure.

Lattice parameters (Å, degrees): 4.8376 4.8376 4.8478 90.00 90.00 90.00
Space group P4/mmm (No. 123)
Symmetry-distinct sites (fractional):
1 Er 0.0000 0.0000 0.0000 x1
2 Lu 0.0000 0.5000 0.5000 x2
3 Sc 0.5000 0.5000 0.0000 x1

Summary:
For the offset from the most stable computed form, the calculation gives 3 meV per atom. As for the volume: 113.5 Å³/cell. The calculation puts the total magnetic moment at 0.00 μB/f.u.

---

# 2
The following is a DFT calculation (PBE-GGA) of a geometry-optimized AgPt2W2 structure.

Lattice parameters (Å, degrees): 7.9207 7.9207 2.7455 90.00 90.00 90.00
Space group P4/mbm (No. 127)
Symmetry-distinct sites (fractional):
1 Ag 0.0000 0.0000 0.0000 x2
2 Pt 0.1711 0.3289 0.5000 x4
3 W 0.1191 0.6191 0.0000 x4

Summary:
As for the volume: 172.2 Å³/cell. The calculation puts the total magnetic moment at 0.00 μB/f.u.

---

# 3
The following is a DFT calculation (PBE-GGA) of a geometry-optimized Sc3ZnC structure.

Lattice parameters (Å, degrees): 4.7888 6.4340 6.8260 69.63 89.94 68.36
Space group P1 (No. 1)
Symmetry-distinct sites (fractional):
1 Sc 0.0000 0.0000 0.0000 x1
2 Sc 0.0018 0.9993 0.4686 x1
3 Sc 0.2935 0.4173 0.8218 x1
4 Sc 0.3140 0.3780 0.3723 x1
5 Sc 0.5401 0.9203 0.7782 x1
6 Sc 0.7075 0.5916 0.4978 x1
7 Zn 0.4809 0.0376 0.1991 x1
8 Zn 0.7780 0.4521 0.0955 x1
9 C 0.0570 0.2115 0.6646 x1
10 C 0.7350 0.2114 0.6644 x1

Summary:
For the offset from the most stable computed form, the calculation gives 170 meV per atom. As for the volume: 181.3 Å³/cell. The calculation puts the total magnetic moment at 0.00 μB/f.u.

---

# 4
The following is a DFT calculation (PBE-GGA) of a geometry-optimized Ti6Ni5Mo structure.

Lattice parameters (Å, degrees): 4.3059 6.0789 12.8425 90.00 90.00 90.00
Space group Immm (No. 71)
Symmetry-distinct sites (fractional):
1 Ti 0.0000 0.2457 0.0000 x4
2 Ti 0.0000 0.2524 0.3323 x8
3 Ni 0.0000 0.0000 0.1734 x4
4 Ni 0.0000 0.5000 0.1661 x4
5 Ni 0.0000 0.5000 0.5000 x2
6 Mo 0.0000 0.0000 0.5000 x2

Summary:
As for the volume: 336.2 Å³/cell. The calculation puts the total magnetic moment at 0.00 μB/f.u.

---

Number 1: VASP energy -4.94 eV/atom, energy of formation 18.7 kJ/mol of formula units. Number 2: VASP energy -8.05 eV/atom, energy of formation 55.6 kJ/mol of formula units. Number 3: VASP energy -6.17 eV/atom, energy of formation -128.9 kJ/mol of formula units. Number 4: VASP energy -7.59 eV/atom, energy of formation -383.4 kJ/mol of formula units.